A geometry-optimized NiTeF3 structure. Source: Alexandria, functional PBE with a Hubbard U.

Unit cell a=4.539 b=4.539 c=4.539 alpha=90.00 beta=90.00 gamma=90.00
Space group Pm-3m (No. 221)
Inequivalent atoms, fractional coordinates:
Ni1 0.000 0.000 0.000 [1 per cell]
Te1 0.500 0.500 0.500 [1 per cell]
F1 0.000 0.500 0.500 [3 per cell]

E_tot: -2.557 eV/atom
Total magnetization: 0.00 μB/atom
Energy above the most stable polymorph in this dataset: 369 meV per atom